A plane-wave DFT calculation with PBE-GGA was carried out for crystalline Na16Hg12Sb at its relaxed geometry. Values from VASP.

Quantum ESPRESSO input file:
```
&SYSTEM
  ibrav = 0, nat = 29, ntyp = 3
/
ATOMIC_SPECIES
Na 22.99 Na.upf
Hg 200.59 Hg.upf
Sb 121.76 Sb.upf
ATOMIC_POSITIONS crystal
Na 0.0000 0.0000 0.0000
Na 0.0319 0.6504 0.0101
Na 0.0561 0.4175 0.6984
Na 0.0596 0.3559 0.2746
Na 0.0693 0.0693 0.7120
Na 0.3313 0.7405 0.3760
Na 0.3559 0.0596 0.2746
Na 0.4093 0.6456 0.7154
Na 0.4175 0.0561 0.6984
Na 0.4565 0.7592 0.1040
Na 0.4667 0.4667 0.3914
Na 0.6456 0.4093 0.7154
Na 0.6504 0.0319 0.0101
Na 0.7405 0.3313 0.3760
Na 0.7516 0.7516 0.3700
Na 0.7592 0.4565 0.1040
Hg 0.0748 0.6709 0.5052
Hg 0.0866 0.8856 0.3510
Hg 0.2169 0.4192 0.0600
Hg 0.2362 0.8544 0.8793
Hg 0.2603 0.2603 0.5151
Hg 0.4029 0.4029 0.8671
Hg 0.4192 0.2169 0.0600
Hg 0.6703 0.8590 0.6666
Hg 0.6709 0.0748 0.5052
Hg 0.8544 0.2362 0.8793
Hg 0.8590 0.6703 0.6666
Hg 0.8856 0.0866 0.3510
Sb 0.7456 0.7456 0.0395
CELL_PARAMETERS angstrom
5.8839 -7.9225 0.0000
5.8839 7.9225 0.0000
-5.7974 0.0000 8.4764
```

Properties
N(E_F)   11.30 states/eV/f.u.
Energy relative to the elements, uncorrected   -217 meV per atom
M_tot   0.00 μB/cell